#i
YInSeO2 | PBE-GGA | relaxed

```
10
Lattice="6.782 0.000 0.000 0.000 4.125 0.000 -3.311 0.000 6.780" Properties=species:S:1:pos:R:3 pbc="T T T"
Y -0.270 1.031 2.988
Y 3.741 3.094 3.791
In -2.005 1.031 6.434
In 5.477 3.094 0.345
Se 0.857 3.094 4.915
Se 2.615 1.031 1.864
O -1.171 3.094 2.515
O -2.670 3.094 6.050
O 6.141 1.031 0.730
O 4.642 1.031 4.265
```

Output
SG: P2_1/m, No. 11
M_tot (μB per cell): 0.00

#ii
YInSeO2 | PBE-GGA | relaxed

```
5
Lattice="4.306 0.000 0.000 0.000 4.306 0.000 0.000 0.000 5.389" Properties=species:S:1:pos:R:3 pbc="T T T"
Y 0.000 0.000 0.000
In 2.153 2.153 0.000
Se 0.000 0.000 2.694
O 0.000 2.153 2.694
O 2.153 0.000 2.694
```

Output
SG: P4/mmm, No. 123
M_tot (μB per cell): 0.00

Which one sits at the bottom of the stability order? #ii does.

#i
InSi2O2 | PBE-GGA | relaxed

```
10
Lattice="7.880 0.000 0.000 0.000 7.880 0.000 0.000 0.000 2.602" Properties=species:S:1:pos:R:3 pbc="T T T"
In 0.000 0.000 0.000
In 3.940 3.940 0.000
Si 0.862 3.079 1.301
Si 3.079 7.019 1.301
Si 4.802 0.862 1.301
Si 7.019 4.802 1.301
O 0.795 4.735 0.000
O 3.145 0.795 0.000
O 4.735 7.085 0.000
O 7.085 3.145 0.000
```

Output
SG: P4/mbm, No. 127
M_tot (μB per cell): 0.00

#ii
InSi2O2 | PBE-GGA | relaxed

```
5
Lattice="-2.060 2.060 5.210 2.060 -2.060 5.210 2.060 2.060 -5.210" Properties=species:S:1:pos:R:3 pbc="T T T"
In 0.000 0.000 0.000
Si 2.060 0.000 2.605
Si 0.000 2.060 2.605
O 0.000 0.000 2.828
O 0.000 0.000 7.593
```

Output
SG: I4/mmm, No. 139
M_tot (μB per cell): 0.00

Which one sits at the bottom of the stability order? #i does.

#i
InSi3O | PBE-GGA | relaxed

```
5
Lattice="5.121 0.000 0.000 0.000 5.121 0.000 0.000 0.000 5.121" Properties=species:S:1:pos:R:3 pbc="T T T"
In 0.000 0.000 0.000
Si 0.000 0.000 2.561
Si 0.000 2.561 0.000
Si 2.561 0.000 0.000
O 2.561 2.561 2.561
```

Output
SG: Pm-3m, No. 221
M_tot (μB per cell): 1.02

#ii
InSi3O | PBE-GGA | relaxed

```
5
Lattice="4.344 0.000 0.000 0.000 4.344 0.000 0.000 0.000 4.344" Properties=species:S:1:pos:R:3 pbc="T T T"
In 0.000 0.000 0.000
Si 0.000 2.172 2.172
Si 2.172 0.000 2.172
Si 2.172 2.172 0.000
O 2.172 2.172 2.172
```

Output
SG: Pm-3m, No. 221
M_tot (μB per cell): 0.00

Which one sits at the bottom of the stability order? #i does.

#i
In2SiO2 | PBE-GGA | relaxed

```
5
Lattice="-1.931 1.931 5.506 1.931 -1.931 5.506 1.931 1.931 -5.506" Properties=species:S:1:pos:R:3 pbc="T T T"
In 0.000 0.000 1.655
In 0.000 0.000 9.357
Si 0.000 0.000 5.506
O 1.931 0.000 2.753
O 0.000 1.931 2.753
```

Output
SG: I4/mmm, No. 139
M_tot (μB per cell): 0.00

#ii
In2SiO2 | PBE-GGA | relaxed

```
10
Lattice="7.123 0.000 0.000 0.000 7.123 0.000 0.000 0.000 3.043" Properties=species:S:1:pos:R:3 pbc="T T T"
In 1.033 2.529 0.000
In 2.529 6.090 0.000
In 4.595 1.033 0.000
In 6.090 4.595 0.000
Si 0.000 0.000 0.000
Si 3.562 3.562 0.000
O 0.899 4.461 1.522
O 2.662 0.899 1.522
O 4.461 6.224 1.522
O 6.224 2.662 1.522
```

Output
SG: P4/mbm, No. 127
M_tot (μB per cell): 0.00

Which one sits at the bottom of the stability order? #ii does.

#i
Sm2InO | PBE-GGA | relaxed

```
8
Lattice="3.284 -3.284 0.000 3.284 3.284 0.000 -0.022 0.000 9.034" Properties=species:S:1:pos:R:3 pbc="T T T"
Sm 1.621 0.000 6.053
Sm 3.284 1.642 0.000
Sm 3.284 -1.642 0.000
Sm 4.925 0.000 2.981
In 1.642 0.000 2.713
In 4.904 0.000 6.321
O 1.619 0.000 8.378
O 4.927 0.000 0.655
```

Output
SG: C2/m, No. 12
M_tot (μB per cell): 0.00

#ii
Sm2InO | PBE-GGA | relaxed

```
4
Lattice="3.165 0.000 0.000 0.000 3.165 0.000 0.000 0.000 8.121" Properties=species:S:1:pos:R:3 pbc="T T T"
Sm 0.000 0.000 1.576
Sm 0.000 0.000 6.545
In 1.583 1.583 4.061
O 1.583 1.583 0.000
```

Output
SG: P4/mmm, No. 123
M_tot (μB per cell): 0.00

Which one sits at the bottom of the stability order? #ii does.

#i
InSnO2 | PBE-GGA | relaxed

```
4
Lattice="0.000 3.100 3.100 3.100 0.000 3.100 3.100 3.100 0.000" Properties=species:S:1:pos:R:3 pbc="T T T"
In 0.000 0.000 0.000
Sn 3.100 3.100 3.100
O 1.550 1.550 1.550
O 4.650 4.650 4.650
```

Output
SG: Fm-3m, No. 225
M_tot (μB per cell): 0.00

#ii
InSnO2 | PBE-GGA | relaxed

```
8
Lattice="-2.720 2.720 5.119 2.720 -2.720 5.119 2.720 2.720 -5.119" Properties=species:S:1:pos:R:3 pbc="T T T"
In 0.000 0.000 0.000
In 0.000 2.720 2.560
Sn 2.720 0.000 2.560
Sn 0.000 0.000 5.119
O 4.080 1.122 -1.280
O 1.122 1.360 1.280
O -1.360 1.598 3.840
O 1.598 1.360 6.399
```

Output
SG: I-42d, No. 122
M_tot (μB per cell): 0.00

#iii
InSnO2 | PBE-GGA | relaxed

```
4
Lattice="1.646 0.950 6.826 -1.646 0.950 6.826 0.000 -1.900 6.826" Properties=species:S:1:pos:R:3 pbc="T T T"
In 0.000 0.000 0.000
Sn 0.000 0.000 10.238
O 0.000 0.000 7.941
O 0.000 0.000 12.536
```

Output
SG: R-3m, No. 166
M_tot (μB per cell): 0.00

Which one sits at the bottom of the stability order? #i does.

#i
In3SnO | PBE-GGA | relaxed

```
5
Lattice="4.879 0.000 0.000 0.000 4.879 0.000 0.000 0.000 4.879" Properties=species:S:1:pos:R:3 pbc="T T T"
In 0.000 0.000 2.440
In 0.000 2.440 0.000
In 2.440 0.000 0.000
Sn 2.440 2.440 2.440
O 0.000 0.000 0.000
```

Output
SG: Pm-3m, No. 221
M_tot (μB per cell): 0.00

#ii
In3SnO | PBE-GGA | relaxed

```
5
Lattice="5.678 0.000 0.000 0.000 5.678 0.000 0.000 0.000 5.678" Properties=species:S:1:pos:R:3 pbc="T T T"
In 0.000 0.000 2.839
In 0.000 2.839 0.000
In 2.839 0.000 0.000
Sn 0.000 0.000 0.000
O 2.839 2.839 2.839
```

Output
SG: Pm-3m, No. 221
M_tot (μB per cell): 0.00

Which one sits at the bottom of the stability order? #ii does.

#i
InSn3O | PBE-GGA | relaxed

```
5
Lattice="4.918 0.000 0.000 0.000 4.918 0.000 0.000 0.000 4.918" Properties=species:S:1:pos:R:3 pbc="T T T"
In 0.000 0.000 0.000
Sn 0.000 2.459 2.459
Sn 2.459 0.000 2.459
Sn 2.459 2.459 0.000
O 2.459 2.459 2.459
```

Output
SG: Pm-3m, No. 221
M_tot (μB per cell): 0.00

#ii
InSn3O | PBE-GGA | relaxed

```
5
Lattice="5.603 0.000 0.000 0.000 5.603 0.000 0.000 0.000 5.603" Properties=species:S:1:pos:R:3 pbc="T T T"
In 0.000 0.000 0.000
Sn 0.000 0.000 2.801
Sn 0.000 2.801 0.000
Sn 2.801 0.000 0.000
O 2.801 2.801 2.801
```

Output
SG: Pm-3m, No. 221
M_tot (μB per cell): 0.00

Which one sits at the bottom of the stability order? #ii does.

#i
SrIn2O4 | PBE-GGA | relaxed

```
14
Lattice="-3.392 3.392 4.784 3.392 -3.392 4.784 3.392 3.392 -4.784" Properties=species:S:1:pos:R:3 pbc="T T T"
Sr 3.392 1.696 1.196
Sr 0.000 1.696 3.588
In 0.000 0.000 0.000
In 1.696 1.696 -2.392
In 1.696 -1.696 2.392
In 0.000 3.392 0.000
O 3.392 3.152 -2.557
O 3.392 -0.240 2.557
O 1.456 1.696 -0.165
O 1.936 -1.696 4.619
O 1.456 5.087 0.165
O 1.936 1.696 4.949
O 0.000 3.632 2.227
O 0.000 0.240 7.340
```

Output
SG: I4_1/amd, No. 141
M_tot (μB per cell): 0.00

#ii
SrIn2O4 | PBE-GGA | relaxed

```
28
Lattice="9.974 0.000 0.000 0.000 3.321 0.000 0.000 0.000 11.664" Properties=species:S:1:pos:R:3 pbc="T T T"
Sr 2.434 0.830 1.777
Sr 2.553 2.491 7.609
Sr 7.421 0.830 4.055
Sr 7.540 2.491 9.887
In 0.692 0.830 4.533
In 0.811 0.830 10.428
In 4.176 2.491 4.596
In 4.296 2.491 10.365
In 5.679 0.830 1.299
In 5.798 0.830 7.069
In 9.163 2.491 1.237
In 9.283 2.491 7.132
O 0.234 2.491 9.131
O 0.812 0.830 6.701
O 1.208 2.491 0.256
O 2.060 2.491 3.877
O 2.928 0.830 9.709
O 3.779 0.830 6.088
O 4.175 2.491 0.869
O 4.753 0.830 3.299
O 5.221 2.491 8.366
O 5.799 0.830 10.796
O 6.195 2.491 5.576
O 7.047 2.491 1.955
O 7.915 0.830 7.787
O 8.766 0.830 11.409
O 9.162 2.491 4.964
O 9.740 0.830 2.534
```

Output
SG: Pnma, No. 62
M_tot (μB per cell): 0.00

Which one sits at the bottom of the stability order? #i does.

#i
TaIn3O | PBE-GGA | relaxed

```
5
Lattice="5.472 0.000 0.000 0.000 5.472 0.000 0.000 0.000 5.472" Properties=species:S:1:pos:R:3 pbc="T T T"
Ta 0.000 0.000 0.000
In 0.000 0.000 2.736
In 0.000 2.736 0.000
In 2.736 0.000 0.000
O 2.736 2.736 2.736
```

Output
SG: Pm-3m, No. 221
M_tot (μB per cell): 1.35

#ii
TaIn3O | PBE-GGA | relaxed

```
5
Lattice="4.591 0.000 0.000 0.000 4.591 0.000 0.000 0.000 4.591" Properties=species:S:1:pos:R:3 pbc="T T T"
Ta 0.000 0.000 0.000
In 0.000 2.296 2.296
In 2.296 0.000 2.296
In 2.296 2.296 0.000
O 2.296 2.296 2.296
```

Output
SG: Pm-3m, No. 221
M_tot (μB per cell): 0.00

Which one sits at the bottom of the stability order? #i does.

#i
Tb4In2O | PBE-GGA | relaxed

```
7
Lattice="-2.334 2.334 8.248 2.334 -2.334 8.248 2.334 2.334 -8.248" Properties=species:S:1:pos:R:3 pbc="T T T"
Tb 2.334 0.000 0.000
Tb 0.000 0.000 2.806
Tb 0.000 2.334 0.000
Tb 0.000 0.000 13.690
In 0.000 0.000 5.965
In 0.000 0.000 10.532
O 0.000 0.000 0.000
```

Output
SG: I4/mmm, No. 139
M_tot (μB per cell): 0.00

#ii
Tb4In2O | PBE-GGA | relaxed

```
14
Lattice="6.405 0.000 0.000 0.000 6.881 0.000 -3.172 0.000 8.551" Properties=species:S:1:pos:R:3 pbc="T T T"
Tb -0.614 0.008 2.394
Tb -0.614 3.432 2.394
Tb 2.181 5.161 0.409
Tb 0.630 5.161 5.555
Tb 2.602 1.720 2.997
Tb 1.051 1.720 8.142
Tb 3.847 3.449 6.157
Tb 3.847 6.873 6.157
In 1.156 1.720 0.216
In 0.150 1.720 5.053
In 3.083 5.161 3.498
In 2.077 5.161 8.335
O -1.247 5.161 6.764
O 4.480 1.720 1.787
```

Output
SG: P2_1/m, No. 11
M_tot (μB per cell): 0.00

Which one sits at the bottom of the stability order? #i does.